1.
# CsAgGeI4 | the Alexandria database | GGA-PBE | relaxed
# Magnetization: 0.000 μB per atom
# Formation energy (no corrections): -639 meV/atom
data_CsAgGeI4
_cell_length_a 6.370
_cell_length_b 8.401
_cell_length_c 11.751
_cell_angle_alpha 90.00
_cell_angle_beta 104.52
_cell_angle_gamma 90.00
_space_group_name_H-M_alt 'P 1 21/m 1'
_space_group_IT_number 11
loop_
_space_group_symop_operation_xyz
'x,y,z'
'-x,-y,-z'
'-x,y+1/2,-z'
'x,-y+1/2,z'
loop_
_atom_site_label
_atom_site_fract_x
_atom_site_fract_y
_atom_site_fract_z
_atom_site_occupancy
Cs1 0.189 0.250 0.373 1
Ag1 0.066 0.250 0.784 1
Ge1 0.443 0.750 0.991 1
I1 0.006 0.750 0.987 1
I2 0.218 0.750 0.434 1
I3 0.402 0.503 0.808 1

***

2.
# Cs3Ag2GeI6 | the Alexandria database | GGA-PBE | relaxed
# Magnetization: 0.000 μB per atom
# Formation energy (no corrections): -723 meV/atom
data_Cs3Ag2GeI6
_cell_length_a 9.0118
_cell_length_b 9.0118
_cell_length_c 9.5347
_cell_angle_alpha 90.00
_cell_angle_beta 90.00
_cell_angle_gamma 120.00
_space_group_name_H-M_alt 'P -3 m 1'
_space_group_IT_number 164
_space_group_name_Hall '-P 3 2"'
loop_
_atom_site_label
_atom_site_fract_x
_atom_site_fract_y
_atom_site_fract_z
_atom_site_occupancy
Cs1 0.0000 0.0000 0.0000 1
Cs2 0.3333 0.6667 0.6334 1
Ag1 0.3333 0.6667 0.2373 1
Ge1 0.0000 0.0000 0.5000 1
I1 0.1589 0.3179 0.3072 1

***

3.
# CsKAg2Ge | the Alexandria database | GGA-PBE | relaxed
# Magnetization: 0.000 μB per atom
# ΔH_f (0 K): 0.10 eV per atom
data_CsKAg2Ge
_cell_length_a 5.203
_cell_length_b 5.203
_cell_length_c 6.230
_cell_angle_alpha 90.00
_cell_angle_beta 90.00
_cell_angle_gamma 90.00
_space_group_name_H-M_alt 'P 4/m m m'
_space_group_IT_number 123
_space_group_name_Hall '-P 4 2'
loop_
_atom_site_label
_atom_site_fract_x
_atom_site_fract_y
_atom_site_fract_z
_atom_site_occupancy
Cs1 0.000 0.000 0.000 1
K1 0.500 0.500 0.000 1
Ag1 0.000 0.500 0.500 1
Ge1 0.500 0.500 0.500 1

***

4.
# Cs2KAgGe | the Alexandria database | GGA-PBE | relaxed
# Magnetization: 0.034 μB per atom
# ΔH_f (0 K): 0.29 eV per atom
data_Cs2KAgGe
_cell_length_a 6.793
_cell_length_b 6.793
_cell_length_c 6.576
_cell_angle_alpha 90.00
_cell_angle_beta 90.00
_cell_angle_gamma 90.00
_space_group_name_H-M_alt 'P 4/m m m'
_space_group_IT_number 123
_space_group_name_Hall '-P 4 2'
loop_
_atom_site_label
_atom_site_fract_x
_atom_site_fract_y
_atom_site_fract_z
_atom_site_occupancy
Cs1 0.000 0.500 0.000 1
K1 0.000 0.000 0.500 1
Ag1 0.500 0.500 0.500 1
Ge1 0.000 0.000 0.000 1

***

5.
# CsLi2AgGe | the Alexandria database | GGA-PBE | relaxed
# Magnetization: 0.000 μB per atom
# ΔH_f (0 K): -0.10 eV per atom
data_CsLi2AgGe
_cell_length_a 5.240
_cell_length_b 5.240
_cell_length_c 5.114
_cell_angle_alpha 90.00
_cell_angle_beta 90.00
_cell_angle_gamma 90.00
_space_group_name_H-M_alt 'P 4/m m m'
_space_group_IT_number 123
_space_group_name_Hall '-P 4 2'
loop_
_atom_site_label
_atom_site_fract_x
_atom_site_fract_y
_atom_site_fract_z
_atom_site_occupancy
Cs1 0.000 0.000 0.000 1
Li1 0.000 0.500 0.500 1
Ag1 0.500 0.500 0.000 1
Ge1 0.500 0.500 0.500 1

***

6.
# CsMgAgGe2 | the Alexandria database | GGA-PBE | relaxed
# Magnetization: 0.000 μB per atom
# ΔH_f (0 K): 1.53 eV per atom
data_CsMgAgGe2
_cell_length_a 5.841
_cell_length_b 5.841
_cell_length_c 5.724
_cell_angle_alpha 90.00
_cell_angle_beta 90.00
_cell_angle_gamma 90.00
_space_group_name_H-M_alt 'P 4/m m m'
_space_group_IT_number 123
_space_group_name_Hall '-P 4 2'
loop_
_atom_site_label
_atom_site_fract_x
_atom_site_fract_y
_atom_site_fract_z
_atom_site_occupancy
Cs1 0.000 0.000 0.000 1
Mg1 0.500 0.500 0.500 1
Ag1 0.000 0.000 0.500 1
Ge1 0.000 0.500 0.000 1

***

7.
# CsMnAgGe2 | the Alexandria database | GGA-PBE | relaxed
# Magnetization: 0.748 μB per atom
# ΔH_f (0 K): 2.01 eV per atom
data_CsMnAgGe2
_cell_length_a 5.801
_cell_length_b 5.801
_cell_length_c 5.506
_cell_angle_alpha 90.00
_cell_angle_beta 90.00
_cell_angle_gamma 90.00
_space_group_name_H-M_alt 'P 4/m m m'
_space_group_IT_number 123
_space_group_name_Hall '-P 4 2'
loop_
_atom_site_label
_atom_site_fract_x
_atom_site_fract_y
_atom_site_fract_z
_atom_site_occupancy
Cs1 0.000 0.000 0.000 1
Mn1 0.000 0.000 0.500 1
Ag1 0.500 0.500 0.500 1
Ge1 0.000 0.500 0.000 1

***

8.
# CsNaAg2Ge | the Alexandria database | GGA-PBE | relaxed
# Magnetization: 0.000 μB per atom
# ΔH_f (0 K): 0.01 eV per atom
data_CsNaAg2Ge
_cell_length_a 5.157
_cell_length_b 5.157
_cell_length_c 5.717
_cell_angle_alpha 90.00
_cell_angle_beta 90.00
_cell_angle_gamma 90.00
_space_group_name_H-M_alt 'P 4/m m m'
_space_group_IT_number 123
_space_group_name_Hall '-P 4 2'
loop_
_atom_site_label
_atom_site_fract_x
_atom_site_fract_y
_atom_site_fract_z
_atom_site_occupancy
Cs1 0.000 0.000 0.000 1
Na1 0.500 0.500 0.000 1
Ag1 0.000 0.500 0.500 1
Ge1 0.500 0.500 0.500 1

***

9.
# CsAgGeO3 | the Alexandria database | GGA-PBE | relaxed
# Magnetization: 0.000 μB per atom
# Formation energy (no corrections): -1302 meV/atom
data_CsAgGeO3
_cell_length_a 13.605
_cell_length_b 6.406
_cell_length_c 7.882
_cell_angle_alpha 90.00
_cell_angle_beta 120.14
_cell_angle_gamma 90.00
_space_group_name_H-M_alt 'C 1 2/m 1'
_space_group_IT_number 12
loop_
_space_group_symop_operation_xyz
'x,y,z'
'-x,-y,-z'
'-x,y,-z'
'x,-y,z'
'x+1/2,y+1/2,z'
'-x+1/2,-y+1/2,-z'
'-x+1/2,y+1/2,-z'
'x+1/2,-y+1/2,z'
loop_
_atom_site_label
_atom_site_fract_x
_atom_site_fract_y
_atom_site_fract_z
_atom_site_occupancy
Cs1 0.190 0.000 0.168 1
Ag1 0.000 0.252 0.500 1
Ge1 0.040 0.500 0.877 1
O1 0.075 0.267 0.805 1
O2 0.103 0.500 0.148 1

***

10.
# Cs2AgGeO4 | the Alexandria database | GGA-PBE | relaxed
# Magnetization: 0.131 μB per atom
# Formation energy (no corrections): -1179 meV/atom
data_Cs2AgGeO4
_cell_length_a 5.751
_cell_length_b 12.755
_cell_length_c 21.208
_cell_angle_alpha 90.00
_cell_angle_beta 90.00
_cell_angle_gamma 90.00
_space_group_name_H-M_alt 'F d d d'
_space_group_IT_number 70
loop_
_space_group_symop_operation_xyz
'x,y,z'
'-x,-y,-z'
'-x+1/4,-y+1/4,z'
'x+1/4,y+1/4,-z'
'x,-y+1/4,-z+1/4'
'-x,y+1/4,z+1/4'
'-x+1/4,y,-z+1/4'
'x+1/4,-y,z+1/4'
'x,y+1/2,z+1/2'
'-x,-y+1/2,-z+1/2'
'-x+1/4,-y+3/4,z+1/2'
'x+1/4,y+3/4,-z+1/2'
'x,-y+3/4,-z+3/4'
'-x,y+3/4,z+3/4'
'-x+1/4,y+1/2,-z+3/4'
'x+1/4,-y+1/2,z+3/4'
'x+1/2,y,z+1/2'
'-x+1/2,-y,-z+1/2'
'-x+3/4,-y+1/4,z+1/2'
'x+3/4,y+1/4,-z+1/2'
'x+1/2,-y+1/4,-z+3/4'
'-x+1/2,y+1/4,z+3/4'
'-x+3/4,y,-z+3/4'
'x+3/4,-y,z+3/4'
'x+1/2,y+1/2,z'
'-x+1/2,-y+1/2,-z'
'-x+3/4,-y+3/4,z'
'x+3/4,y+3/4,-z'
'x+1/2,-y+3/4,-z+1/4'
'-x+1/2,y+3/4,z+1/4'
'-x+3/4,y+1/2,-z+1/4'
'x+3/4,-y+1/2,z+1/4'
loop_
_atom_site_label
_atom_site_fract_x
_atom_site_fract_y
_atom_site_fract_z
_atom_site_occupancy
Cs1 0.125 0.125 0.302 1
Ag1 0.125 0.125 0.125 1
Ge1 0.125 0.125 0.625 1
O1 0.074 0.289 0.835 1

***

11.
# CsAg2GePt | the Alexandria database | GGA-PBE | relaxed
# Magnetization: 0.000 μB per atom
# ΔH_f (0 K): -0.03 eV per atom
data_CsAg2GePt
_cell_length_a 5.474
_cell_length_b 5.474
_cell_length_c 4.677
_cell_angle_alpha 90.00
_cell_angle_beta 90.00
_cell_angle_gamma 90.00
_space_group_name_H-M_alt 'P 4/m m m'
_space_group_IT_number 123
_space_group_name_Hall '-P 4 2'
loop_
_atom_site_label
_atom_site_fract_x
_atom_site_fract_y
_atom_site_fract_z
_atom_site_occupancy
Cs1 0.000 0.000 0.000 1
Ag1 0.000 0.500 0.500 1
Ge1 0.500 0.500 0.000 1
Pt1 0.500 0.500 0.500 1

***

12.
# CsRb2AgGe | the Alexandria database | GGA-PBE | relaxed
# Magnetization: 0.072 μB per atom
# ΔH_f (0 K): 0.13 eV per atom
data_CsRb2AgGe
_cell_length_a 7.006
_cell_length_b 7.006
_cell_length_c 5.059
_cell_angle_alpha 90.00
_cell_angle_beta 90.00
_cell_angle_gamma 90.00
_space_group_name_H-M_alt 'P 4/m m m'
_space_group_IT_number 123
_space_group_name_Hall '-P 4 2'
loop_
_atom_site_label
_atom_site_fract_x
_atom_site_fract_y
_atom_site_fract_z
_atom_site_occupancy
Cs1 0.000 0.000 0.000 1
Rb1 0.000 0.500 0.500 1
Ag1 0.500 0.500 0.000 1
Ge1 0.500 0.500 0.500 1

***

13.
# CsAgGe2Ru | the Alexandria database | GGA-PBE | relaxed
# Magnetization: 0.418 μB per atom
# ΔH_f (0 K): 1.39 eV per atom
data_CsAgGe2Ru
_cell_length_a 4.925
_cell_length_b 4.925
_cell_length_c 5.975
_cell_angle_alpha 90.00
_cell_angle_beta 90.00
_cell_angle_gamma 90.00
_space_group_name_H-M_alt 'P 4/m m m'
_space_group_IT_number 123
_space_group_name_Hall '-P 4 2'
loop_
_atom_site_label
_atom_site_fract_x
_atom_site_fract_y
_atom_site_fract_z
_atom_site_occupancy
Cs1 0.000 0.000 0.000 1
Ag1 0.000 0.000 0.500 1
Ge1 0.000 0.500 0.500 1
Ru1 0.500 0.500 0.000 1

***

14.
# CsAgGeS3 | the Alexandria database | GGA-PBE | relaxed
# Magnetization: 0.000 μB per atom
# Formation energy (no corrections): -514 meV/atom
data_CsAgGeS3
_cell_length_a 13.143
_cell_length_b 7.391
_cell_length_c 8.692
_cell_angle_alpha 90.00
_cell_angle_beta 112.07
_cell_angle_gamma 90.00
_space_group_name_H-M_alt 'C 1 2/m 1'
_space_group_IT_number 12
loop_
_space_group_symop_operation_xyz
'x,y,z'
'-x,-y,-z'
'-x,y,-z'
'x,-y,z'
'x+1/2,y+1/2,z'
'-x+1/2,-y+1/2,-z'
'-x+1/2,y+1/2,-z'
'x+1/2,-y+1/2,z'
loop_
_atom_site_label
_atom_site_fract_x
_atom_site_fract_y
_atom_site_fract_z
_atom_site_occupancy
Cs1 0.201 0.000 0.205 1
Ag1 0.000 0.222 0.500 1
Ge1 0.050 0.500 0.258 1
S1 0.046 0.250 0.792 1
S2 0.221 0.500 0.330 1

***

15.
# Cs2AgGeS4 | the Alexandria database | GGA-PBE | relaxed
# Magnetization: 0.000 μB per atom
# Formation energy (no corrections): -658 meV/atom
data_Cs2AgGeS4
_cell_length_a 6.425
_cell_length_b 14.313
_cell_length_c 23.130
_cell_angle_alpha 90.00
_cell_angle_beta 90.00
_cell_angle_gamma 90.00
_space_group_name_H-M_alt 'F d d d'
_space_group_IT_number 70
loop_
_space_group_symop_operation_xyz
'x,y,z'
'-x,-y,-z'
'-x+1/4,-y+1/4,z'
'x+1/4,y+1/4,-z'
'x,-y+1/4,-z+1/4'
'-x,y+1/4,z+1/4'
'-x+1/4,y,-z+1/4'
'x+1/4,-y,z+1/4'
'x,y+1/2,z+1/2'
'-x,-y+1/2,-z+1/2'
'-x+1/4,-y+3/4,z+1/2'
'x+1/4,y+3/4,-z+1/2'
'x,-y+3/4,-z+3/4'
'-x,y+3/4,z+3/4'
'-x+1/4,y+1/2,-z+3/4'
'x+1/4,-y+1/2,z+3/4'
'x+1/2,y,z+1/2'
'-x+1/2,-y,-z+1/2'
'-x+3/4,-y+1/4,z+1/2'
'x+3/4,y+1/4,-z+1/2'
'x+1/2,-y+1/4,-z+3/4'
'-x+1/2,y+1/4,z+3/4'
'-x+3/4,y,-z+3/4'
'x+3/4,-y,z+3/4'
'x+1/2,y+1/2,z'
'-x+1/2,-y+1/2,-z'
'-x+3/4,-y+3/4,z'
'x+3/4,y+3/4,-z'
'x+1/2,-y+3/4,-z+1/4'
'-x+1/2,y+3/4,z+1/4'
'-x+3/4,y+1/2,-z+1/4'
'x+3/4,-y+1/2,z+1/4'
loop_
_atom_site_label
_atom_site_fract_x
_atom_site_fract_y
_atom_site_fract_z
_atom_site_occupancy
Cs1 0.125 0.125 0.303 1
Ag1 0.125 0.125 0.125 1
Ge1 0.125 0.125 0.625 1
S1 0.091 0.284 0.824 1

***

16.
# CsAg2GeS4 | the Alexandria database | GGA-PBE | relaxed
# Magnetization: 0.000 μB per atom
# Formation energy (no corrections): -389 meV/atom
data_CsAg2GeS4
_cell_length_a 6.825
_cell_length_b 6.825
_cell_length_c 8.780
_cell_angle_alpha 90.00
_cell_angle_beta 90.00
_cell_angle_gamma 90.00
_space_group_name_H-M_alt 'I -4 2 m'
_space_group_IT_number 121
_space_group_name_Hall 'I -4 2'
loop_
_atom_site_label
_atom_site_fract_x
_atom_site_fract_y
_atom_site_fract_z
_atom_site_occupancy
Cs1 0.000 0.000 0.000 1
Ag1 0.000 0.500 0.250 1
Ge1 0.000 0.000 0.500 1
S1 0.187 0.187 0.348 1

***

17.
# CsAgGeSe2 | the Alexandria database | GGA-PBE | relaxed
# Magnetization: 0.000 μB per atom
# Formation energy (no corrections): -467 meV/atom
data_CsAgGeSe2
_cell_length_a 6.794
_cell_length_b 15.142
_cell_length_c 6.498
_cell_angle_alpha 90.00
_cell_angle_beta 90.00
_cell_angle_gamma 90.00
_space_group_name_H-M_alt 'C m m e'
_space_group_IT_number 67
_space_group_name_Hall '-C 2a 2'
loop_
_atom_site_label
_atom_site_fract_x
_atom_site_fract_y
_atom_site_fract_z
_atom_site_occupancy
Cs1 0.000 0.250 0.233 1
Ag1 0.000 0.000 0.000 1
Ge1 0.250 0.000 0.500 1
Se1 0.000 0.112 0.717 1

***

18.
# Cs2AgGeSe4 | the Alexandria database | GGA-PBE | relaxed
# Magnetization: 0.000 μB per atom
# Formation energy (no corrections): -650 meV/atom
data_Cs2AgGeSe4
_cell_length_a 6.702
_cell_length_b 14.787
_cell_length_c 23.504
_cell_angle_alpha 90.00
_cell_angle_beta 90.00
_cell_angle_gamma 90.00
_space_group_name_H-M_alt 'F d d d'
_space_group_IT_number 70
loop_
_space_group_symop_operation_xyz
'x,y,z'
'-x,-y,-z'
'-x+1/4,-y+1/4,z'
'x+1/4,y+1/4,-z'
'x,-y+1/4,-z+1/4'
'-x,y+1/4,z+1/4'
'-x+1/4,y,-z+1/4'
'x+1/4,-y,z+1/4'
'x,y+1/2,z+1/2'
'-x,-y+1/2,-z+1/2'
'-x+1/4,-y+3/4,z+1/2'
'x+1/4,y+3/4,-z+1/2'
'x,-y+3/4,-z+3/4'
'-x,y+3/4,z+3/4'
'-x+1/4,y+1/2,-z+3/4'
'x+1/4,-y+1/2,z+3/4'
'x+1/2,y,z+1/2'
'-x+1/2,-y,-z+1/2'
'-x+3/4,-y+1/4,z+1/2'
'x+3/4,y+1/4,-z+1/2'
'x+1/2,-y+1/4,-z+3/4'
'-x+1/2,y+1/4,z+3/4'
'-x+3/4,y,-z+3/4'
'x+3/4,-y,z+3/4'
'x+1/2,y+1/2,z'
'-x+1/2,-y+1/2,-z'
'-x+3/4,-y+3/4,z'
'x+3/4,y+3/4,-z'
'x+1/2,-y+3/4,-z+1/4'
'-x+1/2,y+3/4,z+1/4'
'-x+3/4,y+1/2,-z+1/4'
'x+3/4,-y+1/2,z+1/4'
loop_
_atom_site_label
_atom_site_fract_x
_atom_site_fract_y
_atom_site_fract_z
_atom_site_occupancy
Cs1 0.125 0.125 0.306 1
Ag1 0.125 0.125 0.125 1
Ge1 0.125 0.125 0.625 1
Se1 0.093 0.282 0.820 1

***

19.
# Cs2AgGeTe4 | the Alexandria database | GGA-PBE | relaxed
# Magnetization: 0.000 μB per atom
# Formation energy (no corrections): -480 meV/atom
data_Cs2AgGeTe4
_cell_length_a 7.103
_cell_length_b 15.476
_cell_length_c 25.075
_cell_angle_alpha 90.00
_cell_angle_beta 90.00
_cell_angle_gamma 90.00
_space_group_name_H-M_alt 'F d d d'
_space_group_IT_number 70
loop_
_space_group_symop_operation_xyz
'x,y,z'
'-x,-y,-z'
'-x+1/4,-y+1/4,z'
'x+1/4,y+1/4,-z'
'x,-y+1/4,-z+1/4'
'-x,y+1/4,z+1/4'
'-x+1/4,y,-z+1/4'
'x+1/4,-y,z+1/4'
'x,y+1/2,z+1/2'
'-x,-y+1/2,-z+1/2'
'-x+1/4,-y+3/4,z+1/2'
'x+1/4,y+3/4,-z+1/2'
'x,-y+3/4,-z+3/4'
'-x,y+3/4,z+3/4'
'-x+1/4,y+1/2,-z+3/4'
'x+1/4,-y+1/2,z+3/4'
'x+1/2,y,z+1/2'
'-x+1/2,-y,-z+1/2'
'-x+3/4,-y+1/4,z+1/2'
'x+3/4,y+1/4,-z+1/2'
'x+1/2,-y+1/4,-z+3/4'
'-x+1/2,y+1/4,z+3/4'
'-x+3/4,y,-z+3/4'
'x+3/4,-y,z+3/4'
'x+1/2,y+1/2,z'
'-x+1/2,-y+1/2,-z'
'-x+3/4,-y+3/4,z'
'x+3/4,y+3/4,-z'
'x+1/2,-y+3/4,-z+1/4'
'-x+1/2,y+3/4,z+1/4'
'-x+3/4,y+1/2,-z+1/4'
'x+3/4,-y+1/2,z+1/4'
loop_
_atom_site_label
_atom_site_fract_x
_atom_site_fract_y
_atom_site_fract_z
_atom_site_occupancy
Cs1 0.125 0.125 0.307 1
Ag1 0.125 0.125 0.125 1
Ge1 0.125 0.125 0.625 1
Te1 0.100 0.278 0.818 1

***

20.
# CsYAgGe2 | the Alexandria database | GGA-PBE | relaxed
# Magnetization: 0.000 μB per atom
# ΔH_f (0 K): 0.71 eV per atom
data_CsYAgGe2
_cell_length_a 5.493
_cell_length_b 5.493
_cell_length_c 6.604
_cell_angle_alpha 90.00
_cell_angle_beta 90.00
_cell_angle_gamma 90.00
_space_group_name_H-M_alt 'P 4/m m m'
_space_group_IT_number 123
_space_group_name_Hall '-P 4 2'
loop_
_atom_site_label
_atom_site_fract_x
_atom_site_fract_y
_atom_site_fract_z
_atom_site_occupancy
Cs1 0.000 0.000 0.000 1
Y1 0.000 0.000 0.500 1
Ag1 0.500 0.500 0.000 1
Ge1 0.000 0.500 0.500 1